Entry 1:
{"formula": "TcTe2Cl", "functional": "PBE", "state": "relaxed", "raw_formation_energy_mev_per_atom": -59.5, "rho_g_cm3": 5.7, "energy_ev_per_atom": -4.68, "magmom_total_mub_per_cell": 0.0, "lattice_angstrom": [[2.0182, 1.1652, 8.0736], [-2.0182, 1.1652, 8.0736], [0.0000, -2.3304, 8.0736]], "species": ["Tc", "Te", "Te", "Cl"], "frac_coords": [[0.0000, 0.0000, 0.0000], [0.3885, 0.3885, 0.3885], [0.6115, 0.6115, 0.6115], [0.5000, 0.5000, 0.5000]]}

***

Entry 2:
{"formula": "TcTe2Cl", "functional": "PBE", "state": "relaxed", "raw_formation_energy_mev_per_atom": -55.4, "rho_g_cm3": 7.4, "energy_ev_per_atom": -4.68, "magmom_total_mub_per_cell": 0.0, "lattice_angstrom": [[3.2633, 0.0000, 0.0000], [0.0000, 3.2502, 0.0000], [-0.3247, 0.0000, 8.1823]], "species": ["Tc", "Te", "Te", "Cl"], "frac_coords": [[0.0000, 0.0000, 0.0000], [0.4759, 0.5000, 0.7926], [0.5241, 0.5000, 0.2074], [0.0000, 0.0000, 0.5000]]}

***

Entry 3:
{"formula": "TcTeCl", "functional": "PBE", "state": "relaxed", "raw_formation_energy_mev_per_atom": 66.0, "rho_g_cm3": 5.3, "energy_ev_per_atom": -5.05, "magmom_total_mub_per_cell": 0.0, "lattice_angstrom": [[3.9954, 0.0000, 0.0000], [-1.9977, 3.4601, 0.0000], [0.0000, 0.0000, 5.9032]], "species": ["Tc", "Te", "Cl"], "frac_coords": [[0.0000, 0.0000, 0.0000], [0.6667, 0.3333, 0.1801], [0.3333, 0.6667, 0.7478]]}

***

Entry 4:
{"formula": "Th3TcTeCl", "functional": "PBE", "state": "relaxed", "raw_formation_energy_mev_per_atom": -767.0, "rho_g_cm3": 9.3, "energy_ev_per_atom": -7.04, "magmom_total_mub_per_cell": 0.0, "lattice_angstrom": [[7.8220, 0.0000, 0.0000], [0.0000, 4.2424, 0.0000], [-1.3788, 0.0000, 10.3024]], "species": ["Th", "Th", "Th", "Th", "Th", "Th", "Tc", "Tc", "Te", "Te", "Cl", "Cl"], "frac_coords": [[0.0265, 0.2500, 0.3571], [0.2053, 0.2500, 0.9121], [0.4469, 0.7500, 0.6345], [0.5531, 0.2500, 0.3655], [0.7947, 0.7500, 0.0879], [0.9735, 0.7500, 0.6429], [0.2290, 0.2500, 0.6067], [0.7710, 0.7500, 0.3933], [0.1976, 0.7500, 0.1591], [0.8024, 0.2500, 0.8409], [0.4521, 0.7500, 0.9006], [0.5479, 0.2500, 0.0994]]}

***

Entry 5:
{"formula": "TlTcTe2Cl", "functional": "PBE", "state": "relaxed", "raw_formation_energy_mev_per_atom": 24.9, "rho_g_cm3": 6.8, "energy_ev_per_atom": -4.15, "magmom_total_mub_per_cell": 2.6, "lattice_angstrom": [[5.4241, 0.0000, 0.0000], [0.0000, 5.4241, 0.0000], [0.0000, 0.0000, 4.9103]], "species": ["Tl", "Tc", "Te", "Te", "Cl"], "frac_coords": [[0.0000, 0.0000, 0.0000], [0.5000, 0.5000, 0.5000], [0.0000, 0.5000, 0.5000], [0.5000, 0.0000, 0.5000], [0.5000, 0.5000, 0.0000]]}

***

Entry 6:
{"formula": "Th3TcCl3", "functional": "PBE", "state": "relaxed", "raw_formation_energy_mev_per_atom": -1168.0, "rho_g_cm3": 6.7, "energy_ev_per_atom": -6.62, "magmom_total_mub_per_cell": 0.0, "lattice_angstrom": [[3.4750, 2.0063, 10.6953], [-3.4750, 2.0063, 10.6953], [0.0000, -4.0126, 10.6953]], "species": ["Th", "Th", "Th", "Th", "Th", "Th", "Tc", "Tc", "Cl", "Cl", "Cl", "Cl", "Cl", "Cl"], "frac_coords": [[0.1086, 0.4492, 0.7898], [0.2102, 0.8914, 0.5508], [0.4492, 0.7898, 0.1086], [0.5508, 0.2102, 0.8914], [0.7898, 0.1086, 0.4492], [0.8914, 0.5508, 0.2102], [0.1667, 0.1667, 0.1667], [0.8333, 0.8333, 0.8333], [0.0523, 0.7265, 0.3896], [0.2735, 0.6104, 0.9477], [0.3896, 0.0523, 0.7265], [0.6104, 0.9477, 0.2735], [0.7265, 0.3896, 0.0523], [0.9477, 0.2735, 0.6104]]}

***

Entry 7:
{"formula": "Th4Tc2Cl3", "functional": "PBE", "state": "relaxed", "raw_formation_energy_mev_per_atom": -940.0, "rho_g_cm3": 7.7, "energy_ev_per_atom": -7.16, "magmom_total_mub_per_cell": 0.0, "lattice_angstrom": [[3.5531, -2.0513, 0.0000], [3.5531, 2.0513, 0.0000], [-0.0271, 0.0000, 18.2022]], "species": ["Th", "Th", "Th", "Th", "Tc", "Tc", "Cl", "Cl", "Cl"], "frac_coords": [[0.0016, 0.0016, 0.2997], [0.3343, 0.3343, 0.1302], [0.6657, 0.6657, 0.8698], [0.9984, 0.9984, 0.7003], [0.3321, 0.3321, 0.7893], [0.6679, 0.6679, 0.2107], [0.0000, 0.0000, 0.0000], [0.3352, 0.3352, 0.4027], [0.6648, 0.6648, 0.5973]]}

***

Entry 8:
{"formula": "Th2TcCl2", "functional": "PBE", "state": "relaxed", "raw_formation_energy_mev_per_atom": -1148.8, "rho_g_cm3": 7.1, "energy_ev_per_atom": -6.93, "magmom_total_mub_per_cell": 0.0, "lattice_angstrom": [[11.3476, -2.0574, 0.0000], [11.3476, 2.0574, 0.0000], [-1.9430, 0.0000, 6.3825]], "species": ["Th", "Th", "Th", "Th", "Tc", "Tc", "Cl", "Cl", "Cl", "Cl"], "frac_coords": [[0.1562, 0.1562, 0.2925], [0.3108, 0.3108, 0.1888], [0.6892, 0.6892, 0.8112], [0.8438, 0.8438, 0.7075], [0.2597, 0.2597, 0.6953], [0.7403, 0.7403, 0.3047], [0.0921, 0.0921, 0.8600], [0.4222, 0.4222, 0.5949], [0.5778, 0.5778, 0.4051], [0.9079, 0.9079, 0.1400]]}